1.
Below is Ba3MgBe2S6 after structural relaxation, with properties calculated at the GGA-PBE level.

Unit cell a=6.9379 b=6.9379 c=8.0130 alpha=90.00 beta=90.00 gamma=120.00
Closest atoms and distances in Å follow each position.
Space group P-3m1 (No. 164)
Symmetry-distinct sites (fractional):
1 Ba 0.0000 0.0000 0.0000 x1  6 S 3.12
2 Ba 0.3333 0.6667 0.6500 x2  1 Be 3.06
3 Mg 0.0000 0.0000 0.5000 x1  6 S 2.62
4 Be 0.3333 0.6667 0.2682 x2  3 S 1.98
5 S 0.1698 0.3396 0.2950 x6  1 Be 1.98

Calculated values
Uncorrected energy = -4.77 eV per atom
Total magnetization = 0.000 μB per atom
Formation energy from raw total energies = -1.48 eV per atom

---

2.
Below is BaSrMgBe2 after structural relaxation, with properties calculated at the GGA-PBE level.

Unit cell a=5.0521 b=5.0521 c=5.7100 alpha=90.00 beta=90.00 gamma=90.00
Closest atoms and distances in Å follow each position.
Space group P4/mmm (No. 123)
Symmetry-distinct sites (fractional):
1 Ba 0.0000 0.0000 0.0000 x1  4 Sr 3.57, 8 Be 3.81
2 Sr 0.5000 0.5000 0.0000 x1  2 Mg 2.85
3 Mg 0.5000 0.5000 0.5000 x1  4 Be 2.53
4 Be 0.0000 0.5000 0.5000 x2  2 Mg 2.53

Calculated values
Formation enthalpy at 0 K = 0.79 eV/atom
Uncorrected energy = -1.74 eV per atom
Total magnetization = 0.000 μB per atom

---

3.
Below is Ba2MgBeTe after structural relaxation, with properties calculated at the GGA-PBE level.

Unit cell a=6.5856 b=6.5856 c=5.3897 alpha=90.00 beta=90.00 gamma=90.00
Closest atoms and distances in Å follow each position.
Space group P4/mmm (No. 123)
Symmetry-distinct sites (fractional):
1 Ba 0.0000 0.5000 0.0000 x2  2 Te 3.29
2 Mg 0.0000 0.0000 0.5000 x1  2 Te 2.69
3 Be 0.5000 0.5000 0.5000 x1  8 Ba 4.25, 4 Mg 4.66
4 Te 0.0000 0.0000 0.0000 x1  2 Mg 2.69

Calculated values
Uncorrected energy = -2.28 eV per atom
Total magnetization = 0.000 μB per atom
Formation energy from raw total energies = 0.18 eV per atom

---

4.
Below is BaMn3Be after structural relaxation, with properties calculated at the GGA-PBE level.

Unit cell a=4.6495 b=4.6495 c=4.6495 alpha=90.00 beta=90.00 gamma=90.00
Closest atoms and distances in Å follow each position.
Space group Pm-3m (No. 221)
Symmetry-distinct sites (fractional):
1 Ba 0.0000 0.0000 0.0000 x1  12 Mn 3.29
2 Mn 0.0000 0.5000 0.5000 x3  2 Be 2.32
3 Be 0.5000 0.5000 0.5000 x1  6 Mn 2.32

Calculated values
Energy above the most stable polymorph in this dataset = 0.0 meV per atom
Formation enthalpy at 0 K = 0.72 eV/atom
Uncorrected energy = -5.91 eV per atom
Total magnetization = 2.204 μB per atom

---

5.
Below is Ba3MnBe after structural relaxation, with properties calculated at the GGA-PBE level.

Unit cell a=6.1617 b=6.1617 c=6.1617 alpha=90.00 beta=90.00 gamma=90.00
Closest atoms and distances in Å follow each position.
Space group Pm-3m (No. 221)
Symmetry-distinct sites (fractional):
1 Ba 0.0000 0.0000 0.5000 x3  2 Be 3.08
2 Mn 0.5000 0.5000 0.5000 x1  12 Ba 4.36
3 Be 0.0000 0.0000 0.0000 x1  6 Ba 3.08

Calculated values
Energy above the most stable polymorph in this dataset = 0.0 meV per atom
Formation enthalpy at 0 K = 0.76 eV/atom
Uncorrected energy = -2.97 eV per atom
Total magnetization = 0.807 μB per atom

---

6.
Below is BaMn3Be after structural relaxation, with properties calculated at the GGA-PBE level.

Unit cell a=5.1746 b=5.1746 c=5.1746 alpha=90.00 beta=90.00 gamma=90.00
Closest atoms and distances in Å follow each position.
Space group Pm-3m (No. 221)
Symmetry-distinct sites (fractional):
1 Ba 0.0000 0.0000 0.0000 x1  6 Mn 2.59
2 Mn 0.0000 0.0000 0.5000 x3  2 Ba 2.59
3 Be 0.5000 0.5000 0.5000 x1  12 Mn 3.66

Calculated values
Energy above the most stable polymorph in this dataset = 1732.7 meV per atom
Formation enthalpy at 0 K = 2.45 eV/atom
Uncorrected energy = -4.18 eV per atom
Total magnetization = 2.314 μB per atom

---

7.
Below is BaMnBe3 after structural relaxation, with properties calculated at the GGA-PBE level.

Unit cell a=5.0228 b=5.0228 c=5.0228 alpha=90.00 beta=90.00 gamma=90.00
Closest atoms and distances in Å follow each position.
Space group Pm-3m (No. 221)
Symmetry-distinct sites (fractional):
1 Ba 0.0000 0.0000 0.0000 x1  6 Be 2.51
2 Mn 0.5000 0.5000 0.5000 x1  12 Be 3.55
3 Be 0.0000 0.0000 0.5000 x3  2 Ba 2.51

Calculated values
Energy above the most stable polymorph in this dataset = 2225.9 meV per atom
Formation enthalpy at 0 K = 2.88 eV/atom
Uncorrected energy = -1.57 eV per atom
Total magnetization = 0.147 μB per atom

---

8.
Below is BaMnBe3 after structural relaxation, with properties calculated at the GGA-PBE level.

Unit cell a=4.5093 b=4.5093 c=4.5093 alpha=90.00 beta=90.00 gamma=90.00
Closest atoms and distances in Å follow each position.
Space group Pm-3m (No. 221)
Symmetry-distinct sites (fractional):
1 Ba 0.0000 0.0000 0.0000 x1  12 Be 3.19
2 Mn 0.5000 0.5000 0.5000 x1  6 Be 2.25
3 Be 0.0000 0.5000 0.5000 x3  2 Mn 2.25

Calculated values
Energy above the most stable polymorph in this dataset = 0.0 meV per atom
Formation enthalpy at 0 K = 0.66 eV/atom
Uncorrected energy = -3.80 eV per atom
Total magnetization = 0.266 μB per atom

---

9.
Below is Ba4MnBe after structural relaxation, with properties calculated at the GGA-PBE level.

Unit cell a=10.1808 b=10.1808 c=10.1808 alpha=90.00 beta=90.00 gamma=90.00
Closest atoms and distances in Å follow each position.
Space group F-43m (No. 216)
Symmetry-distinct sites (fractional):
1 Ba 0.1253 0.1253 0.1253 x16  6 Ba 3.59-3.61
2 Mn 0.2500 0.2500 0.7500 x4  12 Ba 4.22, 4 Be 4.41
3 Be 0.0000 0.0000 0.5000 x4  12 Ba 4.22, 4 Mn 4.41

Calculated values
Formation enthalpy at 0 K = 1.11 eV/atom
Uncorrected energy = -2.32 eV per atom
Total magnetization = 0.454 μB per atom

---

10.
Below is BaMn4Be after structural relaxation, with properties calculated at the GGA-PBE level.

Unit cell a=7.6196 b=7.6196 c=7.6196 alpha=90.00 beta=90.00 gamma=90.00
Closest atoms and distances in Å follow each position.
Space group F-43m (No. 216)
Symmetry-distinct sites (fractional):
1 Ba 0.0000 0.0000 0.0000 x4  12 Mn 3.17, 4 Be 3.30
2 Mn 0.1222 0.1222 0.3778 x16  6 Mn 2.63-2.75
3 Be 0.2500 0.2500 0.7500 x4  12 Mn 3.15, 4 Ba 3.30

Calculated values
Formation enthalpy at 0 K = 0.85 eV/atom
Uncorrected energy = -6.20 eV per atom
Total magnetization = 2.306 μB per atom

---

11.
Below is BaMn2BeN after structural relaxation, with properties calculated at the GGA-PBE level.

Unit cell a=4.1201 b=4.1201 c=5.5177 alpha=90.00 beta=90.00 gamma=90.00
Closest atoms and distances in Å follow each position.
Space group P4/mmm (No. 123)
Symmetry-distinct sites (fractional):
1 Ba 0.0000 0.0000 0.0000 x1  2 N 2.76, 4 Be 2.91
2 Mn 0.0000 0.5000 0.5000 x2  2 N 2.06
3 Be 0.5000 0.5000 0.0000 x1  4 Ba 2.91
4 N 0.0000 0.0000 0.5000 x1  4 Mn 2.06

Calculated values
Uncorrected energy = -5.93 eV per atom
Total magnetization = 1.454 μB per atom
Formation energy from raw total energies = 0.53 eV per atom